# Cr2FeCl

A geometry-optimized Cr2FeCl structure (PBE, Alexandria via LeMat-Bulk).

V = 48 Å³/f.u.
E_form (uncorrected) = 255 kJ/mol of formula units

a = 4.203 Å, b = 4.203 Å, c = 2.717 Å
α = 90.00°, β = 90.00°, γ = 90.00°
Sites, in units of the cell vectors:
Cr1 0.000 0.500 0.000
Cr2 0.500 0.000 0.000
Fe1 0.000 0.000 0.500
Cl1 0.500 0.500 0.500